Record 1
RbNaBi2 (GGA-PBE, relaxed); ρ = 5.8 Mg/m³; ΔE_f = -0.95 eV/f.u.; DOS at the Fermi energy = 2.53 states/eV/f.u.
1.0
-1.941 1.657 -3.511
-2.497 -3.539 -0.290
-5.454 3.466 4.651
Na Bi Rb
1 2 1
Cartesian
-2.219 -0.941 -1.901 Na
-4.444 2.824 3.789 Bi
-1.010 0.642 0.861 Bi
-4.946 0.792 0.425 Rb


Record 2
CoHgMo2 (GGA-PBE, relaxed); ρ = 11.9 Mg/m³; ΔE_f = 2.08 eV/f.u.; DOS at the Fermi energy = 4.74 states/eV/f.u.
1.0
5.009 -0.009 -0.003
-2.123 4.537 -0.003
0.006 0.010 2.766
Co Hg Mo
1 1 2
Cartesian
2.507 0.000 1.381 Co
-1.058 2.273 1.381 Hg
0.000 0.000 0.000 Mo
1.443 2.264 -0.003 Mo